## CaZnW2 (PBE)

Data for a relaxed CaZnW2 crystal.

Results
For the density of states at the Fermi level, the calculation gives 0.63 states/eV per atom. For the total energy, the calculation gives -6.7151 eV per atom. The value obtained for the spin magnetization is 0.0 μB per formula unit. For the energy of formation, the calculation gives 0.5804 eV/atom.

Cell lengths 2.7558, 5.0140, 10.5517 Å; angles 90.00, 90.00, 90.00 degrees
Space group Immm (No. 71)
Asymmetric unit:
1 Ca 0.0000 0.0000 0.0000 (multiplicity 2)
2 Zn 0.0000 0.0000 0.5000 (multiplicity 2)
3 W 0.0000 0.5000 0.2246 (multiplicity 4)